# P2SeSCl GGA-PBE relaxed
# Volume in Å³ per cell: 100
# Space-group type: No. 123
# ΔE_f (raw) in meV per atom: 905
# Calculated total energy in Ry/atom: -0.232
# Energy above the most stable polymorph in this dataset in meV per atom: 0
data_P2SeSCl
_symmetry_space_group_name_H-M 'P 1'
_symmetry_Int_Tables_number 1
_cell_length_a 4.742
_cell_length_b 4.742
_cell_length_c 4.464
_cell_angle_alpha 90.00
_cell_angle_beta 90.00
_cell_angle_gamma 90.00
loop_
_symmetry_equiv_pos_as_xyz
'x,y,z'
loop_
_atom_site_label
_atom_site_fract_x
_atom_site_fract_y
_atom_site_fract_z
P1 0.000 0.500 0.000
P2 0.500 0.000 0.000
Se1 0.000 0.000 0.500
S1 0.500 0.500 0.000
Cl1 0.500 0.500 0.500

# P2SeSCl GGA-PBE relaxed
# Volume in Å³ per cell: 102
# Space-group type: No. 123
# ΔE_f (raw) in meV per atom: 1437
# Calculated total energy in Ry/atom: -0.192
# Energy above the most stable polymorph in this dataset in meV per atom: 532
data_P2SeSCl
_symmetry_space_group_name_H-M 'P 1'
_symmetry_Int_Tables_number 1
_cell_length_a 4.800
_cell_length_b 4.800
_cell_length_c 4.415
_cell_angle_alpha 90.00
_cell_angle_beta 90.00
_cell_angle_gamma 90.00
loop_
_symmetry_equiv_pos_as_xyz
'x,y,z'
loop_
_atom_site_label
_atom_site_fract_x
_atom_site_fract_y
_atom_site_fract_z
P1 0.000 0.500 0.000
P2 0.500 0.000 0.000
Se1 0.000 0.000 0.500
S1 0.500 0.500 0.500
Cl1 0.500 0.500 0.000

# SiPSCl2 GGA-PBE relaxed
# Volume in Å³ per cell: 105
# Space-group type: No. 123
# ΔE_f (raw) in meV per atom: 406
# Calculated total energy in Ry/atom: -0.244
# Energy above the most stable polymorph in this dataset in meV per atom: 0
data_SiPSCl2
_symmetry_space_group_name_H-M 'P 1'
_symmetry_Int_Tables_number 1
_cell_length_a 4.605
_cell_length_b 4.605
_cell_length_c 4.950
_cell_angle_alpha 90.00
_cell_angle_beta 90.00
_cell_angle_gamma 90.00
loop_
_symmetry_equiv_pos_as_xyz
'x,y,z'
loop_
_atom_site_label
_atom_site_fract_x
_atom_site_fract_y
_atom_site_fract_z
Si1 0.000 0.000 0.000
P1 0.500 0.500 0.500
S1 0.000 0.000 0.500
Cl1 0.000 0.500 0.000
Cl2 0.500 0.000 0.000

# SiPSCl2 GGA-PBE relaxed
# Volume in Å³ per cell: 105
# Space-group type: No. 123
# ΔE_f (raw) in meV per atom: 434
# Calculated total energy in Ry/atom: -0.242
# Energy above the most stable polymorph in this dataset in meV per atom: 28
data_SiPSCl2
_symmetry_space_group_name_H-M 'P 1'
_symmetry_Int_Tables_number 1
_cell_length_a 4.689
_cell_length_b 4.689
_cell_length_c 4.795
_cell_angle_alpha 90.00
_cell_angle_beta 90.00
_cell_angle_gamma 90.00
loop_
_symmetry_equiv_pos_as_xyz
'x,y,z'
loop_
_atom_site_label
_atom_site_fract_x
_atom_site_fract_y
_atom_site_fract_z
Si1 0.000 0.000 0.000
P1 0.500 0.500 0.500
S1 0.500 0.500 0.000
Cl1 0.000 0.500 0.500
Cl2 0.500 0.000 0.500

# SiPSCl2 GGA-PBE relaxed
# Volume in Å³ per cell: 107
# Space-group type: No. 123
# ΔE_f (raw) in meV per atom: 785
# Calculated total energy in Ry/atom: -0.217
# Energy above the most stable polymorph in this dataset in meV per atom: 379
data_SiPSCl2
_symmetry_space_group_name_H-M 'P 1'
_symmetry_Int_Tables_number 1
_cell_length_a 4.648
_cell_length_b 4.648
_cell_length_c 4.930
_cell_angle_alpha 90.00
_cell_angle_beta 90.00
_cell_angle_gamma 90.00
loop_
_symmetry_equiv_pos_as_xyz
'x,y,z'
loop_
_atom_site_label
_atom_site_fract_x
_atom_site_fract_y
_atom_site_fract_z
Si1 0.000 0.000 0.000
P1 0.500 0.500 0.000
S1 0.500 0.500 0.500
Cl1 0.000 0.500 0.500
Cl2 0.500 0.000 0.500

# SiPSCl2 GGA-PBE relaxed
# Volume in Å³ per cell: 100
# Space-group type: No. 123
# ΔE_f (raw) in meV per atom: 422
# Calculated total energy in Ry/atom: -0.243
# Energy above the most stable polymorph in this dataset in meV per atom: 16
data_SiPSCl2
_symmetry_space_group_name_H-M 'P 1'
_symmetry_Int_Tables_number 1
_cell_length_a 4.410
_cell_length_b 4.410
_cell_length_c 5.165
_cell_angle_alpha 90.00
_cell_angle_beta 90.00
_cell_angle_gamma 90.00
loop_
_symmetry_equiv_pos_as_xyz
'x,y,z'
loop_
_atom_site_label
_atom_site_fract_x
_atom_site_fract_y
_atom_site_fract_z
Si1 0.000 0.000 0.000
P1 0.000 0.000 0.500
S1 0.500 0.500 0.500
Cl1 0.000 0.500 0.000
Cl2 0.500 0.000 0.000

# Sm6P3S2Cl GGA-PBE relaxed
# Volume in Å³ per cell: 288
# Space-group type: No. 12
# ΔE_f (raw) in meV per atom: -1780
# Calculated total energy in Ry/atom: -0.466
data_Sm6P3S2Cl
_symmetry_space_group_name_H-M 'P 1'
_symmetry_Int_Tables_number 1
_cell_length_a 9.137
_cell_length_b 9.137
_cell_length_c 8.184
_cell_angle_alpha 103.34
_cell_angle_beta 103.34
_cell_angle_gamma 25.68
loop_
_symmetry_equiv_pos_as_xyz
'x,y,z'
loop_
_atom_site_label
_atom_site_fract_x
_atom_site_fract_y
_atom_site_fract_z
Sm1 0.001 0.001 0.229
Sm2 0.324 0.324 0.417
Sm3 0.334 0.334 0.912
Sm4 0.666 0.666 0.088
Sm5 0.676 0.676 0.583
Sm6 0.999 0.999 0.771
P1 0.164 0.164 0.334
P2 0.500 0.500 0.000
P3 0.836 0.836 0.666
S1 0.165 0.165 0.830
S2 0.835 0.835 0.170
Cl1 0.500 0.500 0.500

# Sm4P2SCl GGA-PBE relaxed
# Volume in Å³ per cell: 193
# Space-group type: No. 10
# ΔE_f (raw) in meV per atom: -1734
# Calculated total energy in Ry/atom: -0.455
data_Sm4P2SCl
_symmetry_space_group_name_H-M 'P 1'
_symmetry_Int_Tables_number 1
_cell_length_a 7.064
_cell_length_b 4.059
_cell_length_c 7.127
_cell_angle_alpha 90.00
_cell_angle_beta 109.11
_cell_angle_gamma 90.00
loop_
_symmetry_equiv_pos_as_xyz
'x,y,z'
loop_
_atom_site_label
_atom_site_fract_x
_atom_site_fract_y
_atom_site_fract_z
Sm1 0.231 0.000 0.225
Sm2 0.245 0.500 0.768
Sm3 0.755 0.500 0.232
Sm4 0.769 0.000 0.775
P1 0.000 0.500 0.000
P2 0.500 0.000 0.000
S1 0.000 0.000 0.500
Cl1 0.500 0.500 0.500